Entry 1:
{
  "formula": "V12TcMo3",
  "functional": "PBE-GGA",
  "state": "relaxed",
  "lattice": [[-2.4581, -0.9907, -3.3624], [-3.2392, -0.9276, 2.6413], [-3.8020, 11.5228, -0.6156]],
  "species": ["V", "V", "V", "V", "V", "V", "V", "V", "V", "V", "V", "V", "Tc", "Mo", "Mo", "Mo"],
  "fractional_positions": [[0.5000, 0.5000, 0.0000], [0.5000, 0.5000, 0.2486], [0.5000, 0.5000, 0.5000], [0.5000, 0.5000, 0.7514], [0.5000, 0.0000, 0.1230], [0.5000, 0.0000, 0.3740], [0.5000, 0.0000, 0.6260], [0.5000, 0.0000, 0.8770], [0.0000, 0.5000, 0.1230], [0.0000, 0.5000, 0.3740], [0.0000, 0.5000, 0.6260], [0.0000, 0.5000, 0.8770], [0.0000, 0.0000, 0.0000], [0.0000, 0.0000, 0.2493], [0.0000, 0.0000, 0.5000], [0.0000, 0.0000, 0.7507]],
  "m_tot_mub_per_fu": 0.00,
  "ef_ev_per_atom": -0.112
}



Entry 2:
{
  "formula": "Ta2CrIn",
  "functional": "PBE-GGA",
  "state": "relaxed",
  "lattice": [[5.3058, -0.0020, 0.0199], [4.2848, 3.1293, 0.0199], [1.8442, 0.6013, 4.1893]],
  "species": ["Cr", "In", "Ta", "Ta"],
  "fractional_positions": [[0.4864, 0.4864, 0.4945], [0.2327, 0.2327, 0.2761], [0.0074, 0.0074, 0.9942], [0.7735, 0.7735, 0.7352]],
  "m_tot_mub_per_fu": 0.00,
  "ef_ev_per_atom": 0.218
}